# PmErBi2, relaxed, DFT GGA-PBE
# * ΔE to the lowest computed polymorph: 0.112 eV per atom
data_PmErBi2
_chemical_formula_sum 'Pm1 Er1 Bi2'
_symmetry_space_group_name_H-M 'P 1'
_symmetry_Int_Tables_number 1
_symmetry_space_group_name_Hall 'P 1'
_cell_length_a 4.484
_cell_length_b 4.484
_cell_length_c 8.087
_cell_angle_alpha 73.91
_cell_angle_beta 73.91
_cell_angle_gamma 60.00
loop_
_atom_site_label
_atom_site_fract_x
_atom_site_fract_y
_atom_site_fract_z
_atom_site_occupancy
Pm1 0.669 0.669 0.994 1
Er1 0.498 0.498 0.506 1
Bi1 0.085 0.085 0.746 1
Bi2 0.249 0.249 0.254 1

***

# Pm3ErBi2, relaxed, DFT GGA-PBE
# * ΔE to the lowest computed polymorph: 0.000 eV per atom
data_Pm3ErBi2
_chemical_formula_sum 'Pm3 Er1 Bi2'
_symmetry_space_group_name_H-M 'P 1'
_symmetry_Int_Tables_number 1
_symmetry_space_group_name_Hall 'P 1'
_cell_length_a 4.617
_cell_length_b 4.617
_cell_length_c 8.871
_cell_angle_alpha 90.00
_cell_angle_beta 90.00
_cell_angle_gamma 90.00
loop_
_atom_site_label
_atom_site_fract_x
_atom_site_fract_y
_atom_site_fract_z
_atom_site_occupancy
Pm1 0.500 0.000 0.350 1
Pm2 0.000 0.500 0.650 1
Pm3 0.000 0.000 0.000 1
Er1 0.500 0.500 0.000 1
Bi1 0.500 0.000 0.721 1
Bi2 0.000 0.500 0.279 1

***

This record from the Alexandria database describes an optimized crystal structure of Pm3Er4Bi8. The functional is GGA-PBE.

Geometry as CIF:
```
data_Pm3Er4Bi8
_chemical_formula_sum 'Pm3 Er4 Bi8'
_symmetry_space_group_name_H-M 'P 1'
_symmetry_Int_Tables_number 1
_symmetry_space_group_name_Hall 'P 1'
_cell_length_a 8.945
_cell_length_b 8.984
_cell_length_c 8.984
_cell_angle_alpha 90.06
_cell_angle_beta 119.82
_cell_angle_gamma 119.82
loop_
_atom_site_label
_atom_site_fract_x
_atom_site_fract_y
_atom_site_fract_z
_atom_site_occupancy
Pm1 0.500 0.500 0.000 1
Pm2 0.500 0.000 0.500 1
Pm3 0.500 0.500 0.500 1
Er1 0.500 0.000 0.000 1
Er2 0.000 0.500 0.000 1
Er3 0.000 0.000 0.000 1
Er4 0.000 0.000 0.500 1
Bi1 0.503 0.248 0.248 1
Bi2 0.000 0.748 0.252 1
Bi3 0.993 0.249 0.249 1
Bi4 0.500 0.753 0.247 1
Bi5 0.500 0.247 0.753 1
Bi6 0.007 0.751 0.751 1
Bi7 0.000 0.252 0.748 1
Bi8 0.497 0.752 0.752 1
```

***

This record from the Alexandria database describes an optimized crystal structure of PmEr4Bi2. The functional is GGA-PBE.

Geometry as CIF:
```
data_PmEr4Bi2
_chemical_formula_sum 'Pm1 Er4 Bi2'
_symmetry_space_group_name_H-M 'P 1'
_symmetry_Int_Tables_number 1
_symmetry_space_group_name_Hall 'P 1'
_cell_length_a 5.349
_cell_length_b 5.349
_cell_length_c 9.126
_cell_angle_alpha 107.04
_cell_angle_beta 107.04
_cell_angle_gamma 90.00
loop_
_atom_site_label
_atom_site_fract_x
_atom_site_fract_y
_atom_site_fract_z
_atom_site_occupancy
Pm1 0.000 0.000 0.000 1
Er1 0.819 0.819 0.638 1
Er2 0.181 0.181 0.362 1
Er3 0.000 0.500 0.000 1
Er4 0.500 0.000 0.000 1
Bi1 0.634 0.634 0.269 1
Bi2 0.366 0.366 0.731 1
```

***

Energy relative to the elements
In order: -762, -641, -670, 370
Unit: meV/atom
Ρ
In order: 9.09, 8.96, 8.99, 8.61
Unit: g/cm3